# 1
Below is an optimized crystal structure of KCa2Mg2, with properties calculated at the PBE-GGA level.

Lattice parameters (Å, degrees): 10.101 10.101 3.677 90.00 90.00 90.00
Space group P4/mbm (No. 127)
Symmetry-distinct sites (fractional):
K  0.000  0.000  0.000 (multiplicity 2)
Ca  0.127  0.373  0.000 (multiplicity 4)
Mg  0.164  0.664  0.500 (multiplicity 4)

Values from the calculation:
The calculation puts the total DFT energy (no corrections) at -1.5794 eV/atom. The value obtained for the total magnetization is 0.00 μB per formula unit. Its density is 1.49 Mg/m³.

=====

# 2
Below is an optimized crystal structure of ZrCrHg3, with properties calculated at the PBE-GGA level.

Lattice parameters (Å, degrees): 4.938 4.938 4.938 90.00 90.00 90.00
Space group Pm-3m (No. 221)
Symmetry-distinct sites (fractional):
Zr  0.000  0.000  0.000 (multiplicity 1)
Cr  0.500  0.500  0.500 (multiplicity 1)
Hg  0.000  0.500  0.500 (multiplicity 3)

Values from the calculation:
The calculation puts the total DFT energy (no corrections) at -2.8834 eV/atom. The value obtained for the total magnetization is 0.00 μB per formula unit. Its density is 10.27 Mg/m³.

=====

# 3
Below is an optimized crystal structure of TaSb2TeS, with properties calculated at the PBE-GGA level.

Lattice parameters (Å, degrees): 5.084 5.084 5.047 90.00 90.00 90.00
Space group P4/mmm (No. 123)
Symmetry-distinct sites (fractional):
Ta  0.000  0.000  0.000 (multiplicity 1)
Sb  0.000  0.500  0.500 (multiplicity 2)
Te  0.500  0.500  0.000 (multiplicity 1)
S  0.500  0.500  0.500 (multiplicity 1)

Values from the calculation:
The formation energy without anion corrections is 1.028 eV/atom. The value obtained for the total magnetization is 1.83 μB per formula unit. Its density is 7.44 Mg/m³.

=====

- Which of these has the lowest density?
  KCa2Mg2

=====

- The lowest density belongs to which entry?
  KCa2Mg2

=====

- Among the records above, which one has the highest density?
  ZrCrHg3